# Tb4NdTm3 | Alexandria via LeMat-Bulk | PBE | optimized geometry
# Energy relative to the elements in eV per atom: 0.228
# Calculated volume in A^3/atom: 32.5
data_Tb4NdTm3
_symmetry_space_group_name_H-M 'P 1'
_symmetry_Int_Tables_number 1
_cell_length_a 25.954
_cell_length_b 5.640
_cell_length_c 3.556
_cell_angle_alpha 90.00
_cell_angle_beta 90.05
_cell_angle_gamma 90.00
loop_
_symmetry_equiv_pos_as_xyz
'x,y,z'
loop_
_atom_site_label
_atom_site_type_symbol
_atom_site_fract_x
_atom_site_fract_y
_atom_site_fract_z
Tb1 Tb 0.105 0.000 0.000
Tb2 Tb 0.224 0.000 0.999
Tb3 Tb 0.276 0.500 0.001
Tb4 Tb 0.395 0.500 0.000
Tb5 Tb 0.605 0.500 0.000
Tb6 Tb 0.724 0.500 0.999
Tb7 Tb 0.776 0.000 0.001
Tb8 Tb 0.895 0.000 0.000
Nd1 Nd 0.000 0.000 0.500
Nd2 Nd 0.500 0.500 0.500
Tm1 Tm 0.000 0.500 0.000
Tm2 Tm 0.156 0.500 0.500
Tm3 Tm 0.344 0.000 0.500
Tm4 Tm 0.500 0.000 0.000
Tm5 Tm 0.656 0.000 0.500
Tm6 Tm 0.844 0.500 0.500

=====

# ThSi2Mo | Alexandria via LeMat-Bulk | PBE | optimized geometry
# Calculated volume in A^3/atom: 19.1
# Electronic total energy in eV/atom: -7.87
data_ThSi2Mo
_symmetry_space_group_name_H-M 'P 1'
_symmetry_Int_Tables_number 1
_cell_length_a 7.629
_cell_length_b 3.863
_cell_length_c 10.394
_cell_angle_alpha 90.00
_cell_angle_beta 90.00
_cell_angle_gamma 90.00
loop_
_symmetry_equiv_pos_as_xyz
'x,y,z'
loop_
_atom_site_label
_atom_site_type_symbol
_atom_site_fract_x
_atom_site_fract_y
_atom_site_fract_z
Th1 Th 0.137 0.250 0.132
Th2 Th 0.363 0.750 0.632
Th3 Th 0.637 0.250 0.368
Th4 Th 0.863 0.750 0.868
Si1 Si 0.164 0.250 0.814
Si2 Si 0.221 0.250 0.431
Si3 Si 0.279 0.750 0.931
Si4 Si 0.336 0.750 0.314
Si5 Si 0.664 0.250 0.686
Si6 Si 0.721 0.250 0.069
Si7 Si 0.779 0.750 0.569
Si8 Si 0.836 0.750 0.186
Mo1 Mo 0.007 0.750 0.394
Mo2 Mo 0.493 0.250 0.894
Mo3 Mo 0.507 0.750 0.106
Mo4 Mo 0.993 0.250 0.606

=====

What is the calculated volume in the second record?
19.1 A^3/atom

=====

What is the calculated volume in the first record?
32.5 A^3/atom

=====

Look up the calculated volume of the second one.
19.1 A^3/atom

=====

Which formula does entry 2 have?
ThSi2Mo